V2MoRuC | PBE | optimized geometry

magnetic moment: 0.00 μB/cell
uncorrected energy: -48.0 eV per formula unit
DOS(E_F): 3.6 states/eV/cell

Unit cell a=3.963 b=4.109 c=3.963 alpha=90.00 beta=90.00 gamma=90.00
Positions (direct):
1 Ru 0.500 0.500 0.500
2 V 0.000 0.000 0.500
3 V 0.500 0.000 0.000
4 C 0.000 0.000 0.000
5 Mo 0.000 0.500 0.000